! PBE-GGA Ga2CuF8, optimized geometry; values from VASP
! Energy, eV/atom: -4.47
! Total moment, μB per atom: 0.091
! Density, g/cm³: 4.61
! Energy relative to the elements, uncorrected, eV/atom: -2.1858
&SYSTEM
  ibrav = 0, nat = 11, ntyp = 3
/
ATOMIC_SPECIES
Ga 69.72 Ga.upf
Cu 63.55 Cu.upf
F 19.00 F.upf
CELL_PARAMETERS angstrom
3.985 -3.221 0.000
3.985 3.221 0.000
-0.910 0.000 4.976
ATOMIC_POSITIONS crystal
Ga 0.187 0.187 0.454
Ga 0.813 0.813 0.546
Cu 0.500 0.500 0.000
F 0.055 0.055 0.736
F 0.169 0.547 0.676
F 0.309 0.309 0.168
F 0.453 0.831 0.324
F 0.547 0.169 0.676
F 0.691 0.691 0.832
F 0.831 0.453 0.324
F 0.945 0.945 0.264

! PBE-GGA GaCu2F8, optimized geometry; values from VASP
! Energy, eV/atom: -4.07
! Total moment, μB per atom: 0.099
! Density, g/cm³: 4.44
! Energy relative to the elements, uncorrected, eV/atom: -1.6841
! E above lowest polymorph, eV per atom: 0.079
&SYSTEM
  ibrav = 0, nat = 11, ntyp = 3
/
ATOMIC_SPECIES
Ga 69.72 Ga.upf
Cu 63.55 Cu.upf
F 19.00 F.upf
CELL_PARAMETERS angstrom
6.183 0.000 0.000
-3.092 5.355 0.000
0.000 0.000 3.937
ATOMIC_POSITIONS crystal
Ga 0.000 0.000 0.000
Cu 0.333 0.667 0.766
Cu 0.667 0.333 0.234
F 0.154 0.308 0.748
F 0.154 0.846 0.748
F 0.308 0.154 0.252
F 0.333 0.667 0.262
F 0.667 0.333 0.738
F 0.692 0.846 0.748
F 0.846 0.154 0.252
F 0.846 0.692 0.252

! PBE-GGA GaCuF4, optimized geometry; values from VASP
! Energy, eV/atom: -4.31
! Total moment, μB per atom: 0.013
! Density, g/cm³: 3.34
! Energy relative to the elements, uncorrected, eV/atom: -1.8731
! E above lowest polymorph, eV per atom: 0.161
&SYSTEM
  ibrav = 0, nat = 12, ntyp = 3
/
ATOMIC_SPECIES
Ga 69.72 Ga.upf
Cu 63.55 Cu.upf
F 19.00 F.upf
CELL_PARAMETERS angstrom
5.819 0.000 0.000
0.000 5.915 0.000
0.000 0.000 6.053
ATOMIC_POSITIONS crystal
Ga 0.000 0.000 0.000
Ga 0.500 0.000 0.500
Cu 0.000 0.000 0.500
Cu 0.000 0.500 0.000
F 0.173 0.216 0.862
F 0.173 0.784 0.138
F 0.294 0.176 0.355
F 0.294 0.824 0.645
F 0.706 0.176 0.645
F 0.706 0.824 0.355
F 0.827 0.216 0.138
F 0.827 0.784 0.862